Here is a relaxed structure of SrMnPb2 from Alexandria via LeMat-Bulk. Energies are from PBE.

Properties
- VASP energy: -36.18 eV per cell
- Spin magnetization: 0.96 μB per atom

Unit cell a=4.865 b=6.199 c=7.788 alpha=90.00 beta=90.00 gamma=90.00
Space group Immm (No. 71)
Unique sites:
Sr  0.000  0.000  0.000 x2
Mn  0.000  0.000  0.500 x2
Pb  0.000  0.500  0.212 x4